Entry from the Alexandria database: an optimized crystal structure of BeMoI2O (GGA+U).

As for the total energy: -4.065 eV per atom.

The structure belongs to space group P4/mmm (No. 123); the cell edges are 6.390, 6.390 and 3.014 Å and the angles 90.00°, 90.00° and 90.00°. Symmetry generates all atoms from Be at (0.000, 0.000, 0.000), Mo at (0.500, 0.500, 0.500), I at (0.000, 0.500, 0.000) and O at (0.000, 0.000, 0.500).